# 1
Computed, not measured: crystalline Ta2CoSi at its relaxed geometry at the PBE level of DFT.

Fermi-level density of states   0.328 states/eV per atom
Crystal system   orthorhombic
Uncorrected formation energy   -0.297 eV/atom

a b c (Å): 2.807 2.807 7.411
angles (deg): 90.00 90.00 90.20
Element x y z (fractional)
Si1 0.500 0.500 0.707
Ta1 0.000 0.000 0.963
Ta2 0.500 0.500 0.286
Co1 0.000 0.000 0.543

# 2
Computed, not measured: crystalline Ta2CoSi at its relaxed geometry at the PBE level of DFT.

Fermi-level density of states   0.982 states/eV per atom
Crystal system   tetragonal
Uncorrected formation energy   -0.243 eV/atom

a b c (Å): 4.704 4.704 4.704
angles (deg): 130.27 130.27 72.98
Element x y z (fractional)
Co1 0.250 0.750 0.500
Ta1 0.000 0.000 0.000
Si1 0.750 0.250 0.500
Ta2 0.500 0.500 0.000

# 3
Computed, not measured: crystalline TaCo2Si at its relaxed geometry at the PBE level of DFT.

Fermi-level density of states   1.253 states/eV per atom
Crystal system   trigonal
Uncorrected formation energy   0.085 eV/atom

a b c (Å): 8.326 8.326 8.326
angles (deg): 18.92 18.92 18.92
Each line ends with the local moment (μB).
Element x y z (fractional)
Si1 0.510 0.510 0.510  -0.02
Co1 0.994 0.994 0.994  0.97
Ta1 0.749 0.749 0.749  -0.07
Co2 0.248 0.248 0.248  0.55

# 4
Computed, not measured: crystalline Ta2CoSi at its relaxed geometry at the PBE level of DFT.

Fermi-level density of states   0.746 states/eV per atom
Crystal system   monoclinic
Uncorrected formation energy   -0.215 eV/atom

a b c (Å): 6.228 4.663 2.870
angles (deg): 90.18 62.26 121.64
Each line ends with the local moment (μB).
Element x y z (fractional)
Si1 0.500 0.500 0.000  0.01
Co1 0.000 0.500 0.500  0.73
Ta1 0.500 0.000 0.500  -0.01
Ta2 0.000 0.000 0.000  -0.01

# 5
Computed, not measured: crystalline TaCo2Si at its relaxed geometry at the PBE level of DFT.

Fermi-level density of states   1.087 states/eV per atom
Crystal system   trigonal
Uncorrected formation energy   -0.051 eV/atom

a b c (Å): 8.091 8.091 8.091
angles (deg): 19.55 19.55 19.55
Each line ends with the local moment (μB).
Element x y z (fractional)
Ta1 0.750 0.750 0.750  0.00
Co1 0.509 0.509 0.509  0.20
Co2 0.991 0.991 0.991  0.20
Si1 0.250 0.250 0.250  0.00

# 6
Computed, not measured: crystalline Ta2CoSi at its relaxed geometry at the PBE level of DFT.

Fermi-level density of states   1.007 states/eV per atom
Crystal system   trigonal
Uncorrected formation energy   0.037 eV/atom

a b c (Å): 8.835 8.835 8.835
angles (deg): 18.55 18.55 18.55
Each line ends with the local moment (μB).
Element x y z (fractional)
Ta1 0.241 0.241 0.241  -0.01
Co1 0.492 0.492 0.492  0.33
Si1 0.760 0.760 0.760  0.00
Ta2 0.007 0.007 0.007  0.01

# 7
Computed, not measured: crystalline Ta2CoSi at its relaxed geometry at the PBE level of DFT.

Fermi-level density of states   0.927 states/eV per atom
Crystal system   tetragonal
Uncorrected formation energy   0.155 eV/atom

a b c (Å): 6.834 6.834 5.555
angles (deg): 52.04 52.04 90.00
Element x y z (fractional)
Ta1 0.645 0.125 0.250
Ta2 0.875 0.895 0.750
Co1 0.750 0.250 0.500
Co2 0.000 0.000 0.000
Ta3 0.375 0.355 0.750
Ta4 0.105 0.625 0.250
Si1 0.500 0.500 0.000
Si2 0.250 0.750 0.500

# 8
Computed, not measured: crystalline Ta2CoSi at its relaxed geometry at the PBE level of DFT.

Fermi-level density of states   1.004 states/eV per atom
Crystal system   tetragonal
Uncorrected formation energy   -0.226 eV/atom

a b c (Å): 3.815 3.952 3.952
angles (deg): 90.00 90.00 90.00
Each line ends with the local moment (μB).
Element x y z (fractional)
Si1 0.500 0.000 0.500  0.00
Ta1 0.000 0.000 0.000  0.03
Ta2 0.000 0.500 0.500  0.03
Co1 0.500 0.500 0.000  0.58

# 9
Computed, not measured: crystalline Ta3Co6Si2 at its relaxed geometry at the PBE level of DFT.

Fermi-level density of states   0.896 states/eV per atom
Crystal system   cubic
Uncorrected formation energy   -0.466 eV/atom

a b c (Å): 7.102 7.102 7.102
angles (deg): 109.47 109.47 109.47
Each line ends with the local moment (μB).
Element x y z (fractional)
Co1 0.654 0.308 0.654  0.14
Co2 0.346 0.000 0.654  0.14
Co3 0.654 0.654 0.308  0.14
Ta1 0.731 0.000 0.731  -0.02
Co4 0.000 0.346 0.654  0.14
Ta2 0.269 0.269 0.000  -0.02
Co5 0.346 0.654 0.000  0.14
Si1 0.500 0.000 0.000  0.00
Co6 0.692 0.346 0.346  0.14
Ta3 0.000 0.731 0.731  -0.02
Co7 0.654 0.346 0.000  0.14
Co8 0.654 0.000 0.346  0.14
Co9 0.000 0.654 0.346  0.14
Si2 0.500 0.500 0.500  0.00
Si3 0.000 0.000 0.500  0.00
Co10 0.308 0.654 0.654  0.14
Co11 0.346 0.346 0.692  0.14
Co12 0.346 0.692 0.346  0.14
Ta4 0.269 0.000 0.269  -0.02
Ta5 0.731 0.731 0.000  -0.02
Ta6 0.000 0.269 0.269  -0.02
Si4 0.000 0.500 0.000  0.00

# 10
Computed, not measured: crystalline TaCo2Si2 at its relaxed geometry at the PBE level of DFT.

Fermi-level density of states   0.528 states/eV per atom
Crystal system   tetragonal
Uncorrected formation energy   -0.442 eV/atom

a b c (Å): 6.857 6.857 2.632
angles (deg): 90.00 90.00 90.00
Element x y z (fractional)
Si1 0.858 0.642 0.000
Si2 0.642 0.142 0.000
Ta1 0.500 0.500 0.000
Si3 0.358 0.858 0.000
Co1 0.850 0.350 0.500
Si4 0.142 0.358 0.000
Co2 0.150 0.650 0.500
Ta2 0.000 0.000 0.000
Co3 0.350 0.150 0.500
Co4 0.650 0.850 0.500

# 11
Computed, not measured: crystalline TaCo2Si at its relaxed geometry at the PBE level of DFT.

Fermi-level density of states   0.773 states/eV per atom
Crystal system   tetragonal
Uncorrected formation energy   0.076 eV/atom

a b c (Å): 3.738 3.738 8.465
angles (deg): 77.24 77.24 90.00
Each line ends with the local moment (μB).
Element x y z (fractional)
Co1 0.164 0.625 0.250  0.49
Ta1 0.750 0.250 0.500  -0.07
Co2 0.875 0.836 0.750  0.45
Si1 0.500 0.500 0.000  -0.01
Co3 0.586 0.125 0.250  0.50
Si2 0.250 0.750 0.500  -0.01
Co4 0.375 0.414 0.750  0.46
Ta2 0.000 0.000 0.000  -0.07

# 12
Computed, not measured: crystalline Ta2Co2Si at its relaxed geometry at the PBE level of DFT.

Fermi-level density of states   0.634 states/eV per atom
Crystal system   tetragonal
Uncorrected formation energy   -0.243 eV/atom

a b c (Å): 6.597 6.597 3.234
angles (deg): 90.00 90.00 90.00
Element x y z (fractional)
Co1 0.630 0.130 0.000
Co2 0.130 0.370 0.000
Co3 0.370 0.870 0.000
Co4 0.870 0.630 0.000
Ta1 0.675 0.825 0.500
Ta2 0.175 0.675 0.500
Ta3 0.325 0.175 0.500
Ta4 0.825 0.325 0.500
Si1 0.000 0.000 0.000
Si2 0.500 0.500 0.000